## BaSb2Se (PBE)

Data for BaSb2Se after structural relaxation.

Its formation energy without anion corrections is -0.62 eV/atom. For the total energy, the calculation gives -4.028 eV per atom.

a = 4.439 Å, b = 4.442 Å, c = 6.675 Å
α = 90.00°, β = 90.00°, γ = 90.00°
Fractional positions:
1 Ba 0.000 0.500 0.500
2 Sb 0.000 0.000 0.000
3 Sb 0.500 0.500 0.000
4 Se 0.500 0.000 0.500